Density functional theory data (PBE) for crystalline Ba4Ga2Pt at its relaxed geometry.

Calculated values
Energy of formation in meV per atom: -308
Total moment in μB/f.u.: 0.00
Volume in Å³/cell: 618
DFT total energy in eV per atom: -3.13

Cell: 6.2382 6.2382 15.8872 Å, 90.00 90.00 90.00°
Closest atoms and distances in Å follow each position.
Space group I4/mmm (No. 139)
One atom of each set of equivalent atoms:
Ba  0.0000  0.0000  0.1968 [4 per cell]  1 Pt 3.13, 1 Ga 3.35
Ba  0.0000  0.5000  0.0000 [4 per cell]  2 Pt 3.12, 4 Ga 3.45
Ga  0.0000  0.0000  0.4078 [4 per cell]  1 Ga 2.93
Pt  0.0000  0.0000  0.0000 [2 per cell]  6 Ba 3.12-3.13

Density functional theory data (PBE) for crystalline Tl2CdGe2 at its relaxed geometry.

Calculated values
Energy of formation in meV per atom: 164
Total moment in μB/f.u.: 0.00
Volume in Å³/cell: 265
DFT total energy in eV per atom: -2.81
Energy above the lowest structure with this stoichiometry in eV per formula unit: 0.01

Cell: 3.7772 3.7772 18.5903 Å, 90.00 90.00 90.00°
Closest atoms and distances in Å follow each position.
Space group I4/mmm (No. 139)
One atom of each set of equivalent atoms:
Tl  0.0000  0.0000  0.1083 [4 per cell]  4 Ge 3.24, 4 Cd 3.35
Cd  0.0000  0.0000  0.5000 [2 per cell]  8 Tl 3.35
Ge  0.0000  0.5000  0.2500 [4 per cell]  4 Ge 2.67

Density functional theory data (PBE) for crystalline MgPaZnGa at its relaxed geometry.

Calculated values
Energy of formation in meV per atom: -133
Total moment in μB/f.u.: 0.00
Volume in Å³/cell: 324
DFT total energy in eV per atom: -3.98

Cell: 6.8659 6.8659 6.8659 Å, 90.00 90.00 90.00°
Closest atoms and distances in Å follow each position.
Space group F-43m (No. 216)
One atom of each set of equivalent atoms:
Mg  0.0000  0.0000  0.0000 [4 per cell]  4 Zn 2.97, 4 Ga 2.97
Pa  0.0000  0.0000  0.5000 [4 per cell]  4 Zn 2.97, 4 Ga 2.97
Zn  0.2500  0.2500  0.2500 [4 per cell]  4 Pa 2.97, 4 Mg 2.97
Ga  0.2500  0.2500  0.7500 [4 per cell]  4 Pa 2.97, 4 Mg 2.97

Density functional theory data (PBE) for crystalline La3SnC at its relaxed geometry.

Calculated values
Energy of formation in meV per atom: -494
Total moment in μB/f.u.: 0.00
Volume in Å³/cell: 142
DFT total energy in eV per atom: -6.10

Cell: 5.2190 5.2190 5.2190 Å, 90.00 90.00 90.00°
Closest atoms and distances in Å follow each position.
Space group Pm-3m (No. 221)
One atom of each set of equivalent atoms:
La  0.0000  0.0000  0.5000 [3 per cell]  2 C 2.61
Sn  0.5000  0.5000  0.5000 [1 per cell]  12 La 3.69
C  0.0000  0.0000  0.0000 [1 per cell]  6 La 2.61

Density functional theory data (PBE) for crystalline BeVAg at its relaxed geometry.

Calculated values
Energy of formation in meV per atom: 642
Total moment in μB/f.u.: 0.19
Volume in Å³/cell: 174
DFT total energy in eV per atom: -4.59
Energy above the lowest structure with this stoichiometry in eV per formula unit: 1.60

Cell: 5.5834 5.5834 5.5834 Å, 90.00 90.00 90.00°
Closest atoms and distances in Å follow each position.
Space group F-43m (No. 216)
One atom of each set of equivalent atoms:
Be  0.0000  0.0000  0.0000 [4 per cell]  4 Ag 2.42, 4 V 2.42
V  0.2500  0.2500  0.7500 [4 per cell]  4 Be 2.42
Ag  0.2500  0.2500  0.2500 [4 per cell]  4 Be 2.42

Density functional theory data (PBE) for crystalline AlV3Cd at its relaxed geometry.

Calculated values
Energy of formation in meV per atom: 1126
Total moment in μB/f.u.: 0.00
Volume in Å³/cell: 92
DFT total energy in eV per atom: -5.28
Energy above the lowest structure with this stoichiometry in eV per formula unit: 0.00

Cell: 4.5111 4.5111 4.5111 Å, 90.00 90.00 90.00°
Closest atoms and distances in Å follow each position.
Space group Pm-3m (No. 221)
One atom of each set of equivalent atoms:
Al  0.0000  0.0000  0.0000 [1 per cell]  6 V 2.26
V  0.0000  0.0000  0.5000 [3 per cell]  2 Al 2.26
Cd  0.5000  0.5000  0.5000 [1 per cell]  12 V 3.19